Entry from the Alexandria database: a relaxed CsMo2O6 crystal (GGA+U).

a b c (Å): 7.4139 7.4139 7.4139
angles (deg): 60.00 60.00 60.00
Positions (direct):
Cs: 0.1250 0.1250 0.1250
Cs: 0.8750 0.8750 0.8750
Mo: 0.0000 0.5000 0.5000
Mo: 0.5000 0.0000 0.5000
Mo: 0.5000 0.5000 0.0000
Mo: 0.5000 0.5000 0.5000
O: 0.1901 0.1901 0.5599
O: 0.1901 0.5599 0.1901
O: 0.1901 0.5599 0.5599
O: 0.4401 0.4401 0.8099
O: 0.4401 0.8099 0.4401
O: 0.4401 0.8099 0.8099
O: 0.5599 0.1901 0.1901
O: 0.5599 0.1901 0.5599
O: 0.5599 0.5599 0.1901
O: 0.8099 0.4401 0.4401
O: 0.8099 0.4401 0.8099
O: 0.8099 0.8099 0.4401

Calculated total energy in eV/cell: -120.13
Magnetic moment in Bohr magnetons per cell: 2.0
Fermi-level density of states in states/eV per cell: 7.98